The following is a PBE calculation of an optimized crystal structure of CsGdPbSe3, from OQMD.

Summary:
space group: Cmcm
magnetic moment: 0.00 Bohr magnetons per cell
VASP energy: -53.90 eV for the cell shown

a b c (Å): 8.7870 8.7870 12.1923
angles (deg): 90.00 90.00 152.06
Positions (direct):
1 Cs 0.1997 0.8003 0.7500
2 Cs 0.8003 0.1997 0.2500
3 Gd 0.5000 0.5000 0.0000
4 Gd 0.5000 0.5000 0.5000
5 Pb 0.0955 0.9045 0.2500
6 Pb 0.9045 0.0955 0.7500
7 Se 0.1147 0.8853 0.0085
8 Se 0.1147 0.8853 0.4915
9 Se 0.4836 0.5164 0.2500
10 Se 0.5164 0.4836 0.7500
11 Se 0.8853 0.1147 0.5085
12 Se 0.8853 0.1147 0.9915

***

The following is a PBE calculation of an optimized crystal structure of LaCuReTc, from OQMD.

Summary:
space group: F-43m
magnetic moment: 0.14 Bohr magnetons per cell
VASP energy: -28.10 eV for the cell shown
formation enthalpy at 0 K: 3.3 eV per formula unit

a b c (Å): 4.5662 4.5662 4.5662
angles (deg): 60.00 60.00 60.00
Positions (direct):
1 La 0.0000 0.0000 0.0000
2 Cu 0.5000 0.5000 0.5000
3 Re 0.7500 0.7500 0.7500
4 Tc 0.2500 0.2500 0.2500

***

The following is a PBE calculation of an optimized crystal structure of SnAsPt2, from OQMD.

Summary:
space group: P6_3/mmc
magnetic moment: 0.00 Bohr magnetons per cell
VASP energy: -43.82 eV for the cell shown

a b c (Å): 3.7736 3.7736 12.6474
angles (deg): 90.00 90.00 120.00
Positions (direct):
1 Sn 0.0000 0.0000 0.0000
2 Sn 0.0000 0.0000 0.5000
3 As 0.3333 0.6667 0.2500
4 As 0.6667 0.3333 0.7500
5 Pt 0.3333 0.6667 0.6381
6 Pt 0.3333 0.6667 0.8619
7 Pt 0.6667 0.3333 0.1381
8 Pt 0.6667 0.3333 0.3619

***

The following is a PBE calculation of an optimized crystal structure of Ho2LuIn, from OQMD.

Summary:
space group: P4/mmm
magnetic moment: 0.03 Bohr magnetons per cell
VASP energy: -17.45 eV for the cell shown

a b c (Å): 4.7791 4.7791 4.7872
angles (deg): 90.00 90.00 90.00
Positions (direct):
1 Ho 0.0000 0.5000 0.0000
2 Ho 0.5000 0.0000 0.0000
3 Lu 0.0000 0.0000 0.5000
4 In 0.5000 0.5000 0.5000

***

The following is a PBE calculation of an optimized crystal structure of ScZnFePt, from OQMD.

Summary:
space group: F-43m
magnetic moment: 1.78 Bohr magnetons per cell
VASP energy: -23.68 eV for the cell shown
formation enthalpy at 0 K: -1.7 eV per formula unit

a b c (Å): 4.4227 4.4227 4.4227
angles (deg): 60.00 60.00 60.00
Positions (direct):
1 Sc 0.0000 0.0000 0.0000
2 Zn 0.5000 0.5000 0.5000
3 Fe 0.7500 0.7500 0.7500
4 Pt 0.2500 0.2500 0.2500

***

The following is a PBE calculation of an optimized crystal structure of TaFeAgAs, from OQMD.

Summary:
space group: F-43m
magnetic moment: 0.50 Bohr magnetons per cell
VASP energy: -25.66 eV for the cell shown

a b c (Å): 4.4729 4.4729 4.4729
angles (deg): 60.00 60.00 60.00
Positions (direct):
1 Ta 0.0000 0.0000 0.0000
2 Fe 0.7500 0.7500 0.7500
3 Ag 0.2500 0.2500 0.2500
4 As 0.5000 0.5000 0.5000

***

The following is a PBE calculation of an optimized crystal structure of PrSm2Zn2Si4Au2, from OQMD.

Summary:
space group: Immm
magnetic moment: 0.00 Bohr magnetons per cell
VASP energy: -51.85 eV for the cell shown

a b c (Å): 12.7326 12.7326 12.7326
angles (deg): 160.92 160.82 27.19
Positions (direct):
1 Pr 0.0000 0.0000 0.0000
2 Sm 0.1456 0.6456 0.5000
3 Sm 0.8544 0.3544 0.5000
4 Zn 0.4052 0.9052 0.5000
5 Zn 0.5948 0.0948 0.5000
6 Si 0.3098 0.8098 0.5000
7 Si 0.4520 0.4520 0.0000
8 Si 0.5480 0.5480 0.0000
9 Si 0.6902 0.1902 0.5000
10 Au 0.2507 0.2507 0.0000
11 Au 0.7493 0.7493 0.0000

***

The following is a PBE calculation of an optimized crystal structure of Li2BeCoH6, from OQMD.

Summary:
space group: Fm-3m
magnetic moment: 0.55 Bohr magnetons per cell
VASP energy: -36.58 eV for the cell shown

a b c (Å): 4.4406 4.4406 4.4406
angles (deg): 60.00 60.00 60.00
Positions (direct):
1 Li 0.2500 0.2500 0.2500
2 Li 0.7500 0.7500 0.7500
3 Be 0.0000 0.0000 0.0000
4 Co 0.5000 0.5000 0.5000
5 H 0.2493 0.2493 0.7507
6 H 0.2493 0.7507 0.2493
7 H 0.2493 0.7507 0.7507
8 H 0.7507 0.2493 0.2493
9 H 0.7507 0.2493 0.7507
10 H 0.7507 0.7507 0.2493

***

The following is a PBE calculation of an optimized crystal structure of KMo12S14, from OQMD.

Summary:
space group: P-31c
magnetic moment: 0.00 Bohr magnetons per cell
VASP energy: -414.64 eV for the cell shown

a b c (Å): 9.1759 9.1759 16.4853
angles (deg): 90.00 90.00 120.00
Positions (direct):
1 K 0.3333 0.6667 0.2500
2 K 0.6667 0.3333 0.7500
3 Mo 0.1566 0.5037 0.5422
4 Mo 0.1566 0.6529 0.9578
5 Mo 0.1638 0.4951 0.8158
6 Mo 0.1638 0.6687 0.6842
7 Mo 0.3313 0.4951 0.6842
8 Mo 0.3313 0.8362 0.8158
9 Mo 0.3471 0.5037 0.9578
10 Mo 0.3471 0.8434 0.5422
11 Mo 0.4951 0.1638 0.3158
12 Mo 0.4951 0.3313 0.1842
13 Mo 0.4963 0.6529 0.5422
14 Mo 0.4963 0.8434 0.9578
15 Mo 0.5037 0.1566 0.0422
16 Mo 0.5037 0.3471 0.4578
17 Mo 0.5049 0.6687 0.8158
18 Mo 0.5049 0.8362 0.6842
19 Mo 0.6529 0.1566 0.4578
20 Mo 0.6529 0.4963 0.0422
21 Mo 0.6687 0.1638 0.1842
22 Mo 0.6687 0.5049 0.3158
23 Mo 0.8362 0.3313 0.3158
24 Mo 0.8362 0.5049 0.1842
25 Mo 0.8434 0.3471 0.0422
26 Mo 0.8434 0.4963 0.4578
27 S 0.0196 0.3585 0.6816
28 S 0.0196 0.6610 0.8184
29 S 0.0408 0.3483 0.9422
30 S 0.0408 0.6925 0.5578
31 S 0.3075 0.3483 0.5578
32 S 0.3075 0.9592 0.9422
33 S 0.3333 0.6667 0.0678
34 S 0.3333 0.6667 0.4322
35 S 0.3390 0.3585 0.8184
36 S 0.3390 0.9804 0.6816
37 S 0.3483 0.0408 0.4422
38 S 0.3483 0.3075 0.0578
39 S 0.3585 0.0196 0.1816
40 S 0.3585 0.3390 0.3184
41 S 0.6415 0.6610 0.6816
42 S 0.6415 0.9804 0.8184
43 S 0.6517 0.6925 0.9422
44 S 0.6517 0.9592 0.5578
45 S 0.6610 0.0196 0.3184
46 S 0.6610 0.6415 0.1816
47 S 0.6667 0.3333 0.5678
48 S 0.6667 0.3333 0.9322
49 S 0.6925 0.0408 0.0578
50 S 0.6925 0.6517 0.4422
51 S 0.9592 0.3075 0.4422
52 S 0.9592 0.6517 0.0578
53 S 0.9804 0.3390 0.1816
54 S 0.9804 0.6415 0.3184

***

The following is a PBE calculation of an optimized crystal structure of Sm3Mg3PtAu2, from OQMD.

Summary:
space group: P-62m
magnetic moment: 0.00 Bohr magnetons per cell
VASP energy: -38.08 eV for the cell shown

a b c (Å): 7.5748 7.5748 4.1678
angles (deg): 90.00 90.00 120.00
Positions (direct):
1 Sm 0.0000 0.5934 0.0000
2 Sm 0.4066 0.4066 0.0000
3 Sm 0.5934 0.0000 0.0000
4 Mg 0.0000 0.2372 0.5000
5 Mg 0.2372 0.0000 0.5000
6 Mg 0.7628 0.7628 0.5000
7 Pt 0.0000 0.0000 0.0000
8 Au 0.3333 0.6667 0.5000
9 Au 0.6667 0.3333 0.5000

***

The following is a PBE calculation of an optimized crystal structure of Sc2Ta4Si3C3, from OQMD.

Summary:
space group: C2/c
magnetic moment: 0.00 Bohr magnetons per cell
VASP energy: -222.84 eV for the cell shown

a b c (Å): 5.4897 5.4897 13.5969
angles (deg): 101.83 101.83 59.99
Positions (direct):
1 Sc 0.0356 0.8728 0.6044
2 Sc 0.1272 0.9644 0.8956
3 Sc 0.8728 0.0356 0.1044
4 Sc 0.9644 0.1272 0.3956
5 Ta 0.1962 0.3575 0.0895
6 Ta 0.2969 0.4763 0.4106
7 Ta 0.3575 0.1962 0.5895
8 Ta 0.4763 0.2969 0.9106
9 Ta 0.5237 0.7031 0.0894
10 Ta 0.6425 0.8038 0.4105
11 Ta 0.7031 0.5237 0.5894
12 Ta 0.8038 0.6425 0.9105
13 Si 0.0836 0.2962 0.7510
14 Si 0.2962 0.0836 0.2510
15 Si 0.4756 0.5244 0.7500
16 Si 0.5244 0.4756 0.2500
17 Si 0.7038 0.9164 0.7490
18 Si 0.9164 0.7038 0.2490
19 C 0.0000 0.5000 0.5000
20 C 0.1688 0.6621 0.9998
21 C 0.3379 0.8312 0.5002
22 C 0.5000 0.0000 0.0000
23 C 0.6621 0.1688 0.4998
24 C 0.8312 0.3379 0.0002

***

The following is a PBE calculation of an optimized crystal structure of YBeSnIr, from OQMD.

Summary:
space group: F-43m
magnetic moment: 0.00 Bohr magnetons per cell
VASP energy: -24.14 eV for the cell shown

a b c (Å): 4.6662 4.6662 4.6662
angles (deg): 60.00 60.00 60.00
Positions (direct):
1 Y 0.0000 0.0000 0.0000
2 Be 0.2500 0.2500 0.2500
3 Sn 0.5000 0.5000 0.5000
4 Ir 0.7500 0.7500 0.7500